No. 1
Compound: ScRe2Br
Source: the Alexandria database
Functional: PBEsol
Structure: relaxed

Cell: 3.3335 4.8650 5.2015 Å, 107.54 90.00 110.04°
Fractional positions:
Re 0.9913 0.9825 0.0649
Re 0.6842 0.3684 0.1819
Sc 0.5410 0.0819 0.5805
Br 0.2836 0.5672 0.6728

## Properties
Volume ... 75 Å³/f.u.
Magnetic moment ... 0.0 μB per formula unit
Space-group type ... Cm

No. 2
Compound: TlCd3
Source: the Alexandria database
Functional: PBEsol
Structure: relaxed

Cell: 4.9718 6.5568 6.5568 Å, 120.00 90.00 90.00°
Fractional positions:
Cd 0.2500 0.8390 0.6780
Cd 0.2500 0.3220 0.1610
Cd 0.7500 0.1610 0.8390
Cd 0.7500 0.1610 0.3220
Cd 0.2500 0.8390 0.1610
Cd 0.7500 0.6780 0.8390
Tl 0.7500 0.6667 0.3333
Tl 0.2500 0.3333 0.6667

## Properties
Volume ... 93 Å³/f.u.
Magnetic moment ... 0.0 μB per formula unit
Space-group type ... P6_3/mmc

no.,DFT total energy (eV for the cell shown)
1,-33.7
2,-11.9